Density functional theory data (PBE) for ScPaFeCo after structural relaxation.

abc: 4.567 4.567 4.567
angles: 60.00 60.00 60.00
Element x y z (fractional)
Sc 0.000 0.000 0.000
Pa 0.500 0.500 0.500
Fe 0.750 0.750 0.750
Co 0.250 0.250 0.250

VASP energy = -8.002 eV/atom
calculated volume = 16.83 A^3/atom
DOS at the Fermi energy = 4.967 states/eV/cell
crystal system = cubic
formation energy = -0.61 eV/f.u.


Density functional theory data (PBE) for KAlI2 after structural relaxation.

abc: 9.893 9.893 9.893
angles: 136.28 136.28 63.55
Element x y z (fractional)
K 0.000 0.000 0.000
K 0.750 0.250 0.500
Al 0.250 0.750 0.500
Al 0.500 0.500 0.000
I 0.157 0.625 0.032
I 0.375 0.407 0.532
I 0.593 0.125 0.968
I 0.875 0.843 0.468

E above lowest polymorph = 12 meV per atom
VASP energy = -2.587 eV/atom
raw formation energy = -0.602 eV per atom
calculated volume = 57.05 A^3/atom
DOS at the Fermi energy = 0.000 states/eV/cell
crystal system = tetragonal


Density functional theory data (PBE) for SrRe2Tc after structural relaxation.

abc: 4.609 4.609 4.609
angles: 60.00 60.00 60.00
Element x y z (fractional)
Sr 0.000 0.000 0.000
Re 0.250 0.250 0.250
Re 0.750 0.750 0.750
Tc 0.500 0.500 0.500

E above lowest polymorph = 464 meV per atom
VASP energy = -8.122 eV/atom
calculated volume = 17.30 A^3/atom
DOS at the Fermi energy = 2.530 states/eV/cell
crystal system = cubic
formation energy = 4.46 eV/f.u.